# NbZn3C

A relaxed structure of NbZn3C (PBE-GGA, Alexandria).

```
data_NbZn3C
_chemical_formula_sum 'Nb1 Zn3 C1'
_space_group_name_H-M_alt 'P 1'
_space_group_IT_number 1
_cell_length_a 5.167
_cell_length_b 5.167
_cell_length_c 5.167
_cell_angle_alpha 90.00
_cell_angle_beta 90.00
_cell_angle_gamma 90.00
loop_
_space_group_symop_operation_xyz
'x,y,z'
loop_
_atom_site_label
_atom_site_fract_x
_atom_site_fract_y
_atom_site_fract_z
Nb1 0.000 0.000 0.000
Zn1 0.000 0.000 0.500
Zn2 0.000 0.500 0.000
Zn3 0.500 0.000 0.000
C1 0.500 0.500 0.500
```

Properties
- Symmetry: Pm-3m
- Uncorrected energy: -11.53 eV per cell
- Energy of formation from the pure elements: 2.317 eV per atom
- Polymorph energy (0 for the lowest one): 1433 meV/atom